Compound: SiTc2As
Source: Alexandria via LeMat-Bulk
Functional: PBE
Structure: relaxed

distance to the lowest polymorph of the same formula	45	meV per atom
formation energy without anion corrections	-0.239	eV/atom

Structure (POSCAR):
```
SiTc2As
1.0
-2.119 -0.269 4.107
-2.444 -2.915 2.637
2.925 -1.908 2.788
Si Tc As
1 2 1
direct
0.745 0.745 0.803
0.248 0.248 0.311
0.005 0.005 0.926
0.502 0.502 0.461
```


Compound: SiTc3As
Source: Alexandria via LeMat-Bulk
Functional: PBE
Structure: relaxed

distance to the lowest polymorph of the same formula	0	meV per atom
formation energy without anion corrections	0.953	eV/atom

Structure (POSCAR):
```
SiTc3As
1.0
4.441 0.000 0.000
0.000 4.441 0.000
0.000 0.000 4.441
As Si Tc
1 1 3
direct
0.500 0.500 0.500
0.000 0.000 0.000
0.500 0.000 0.000
0.000 0.000 0.500
0.000 0.500 0.000
```


Compound: Si2Tc2As
Source: Alexandria via LeMat-Bulk
Functional: PBE
Structure: relaxed

distance to the lowest polymorph of the same formula	76	meV per atom
formation energy without anion corrections	-0.133	eV/atom

Structure (POSCAR):
```
Si2Tc2As
1.0
-5.362 -1.929 -3.967
-3.188 -2.621 5.584
-1.339 2.693 0.500
Si Tc As
4 4 2
direct
0.632 0.868 0.500
0.368 0.132 0.500
0.868 0.368 0.500
0.132 0.632 0.500
0.659 0.159 0.000
0.841 0.659 0.000
0.159 0.341 0.000
0.341 0.841 0.000
0.500 0.500 0.000
0.000 0.000 0.000
```


| no. | DFT total energy (eV per atom) |
| --- | --- |
| 1 | -7.9402 |
| 2 | -7.2814 |
| 3 | -7.3790 |